# V2Fe3Pt4 GGA-PBE optimized geometry
# Total DFT energy (no corrections), eV/atom: -7.904
# Formation energy, kJ/mol of formula units: -323
# Symmetry: C2/m, No. 12
# DOS at the Fermi energy, states/eV/atom: 0.81
data_V2Fe3Pt4
_chemical_formula_sum 'V2 Fe3 Pt4'
_cell_length_a 3.8484
_cell_length_b 4.6974
_cell_length_c 8.0153
_cell_angle_alpha 73.11
_cell_angle_beta 89.99
_cell_angle_gamma 65.81
_space_group_name_H-M_alt 'P 1'
_space_group_IT_number 1
loop_
_space_group_symop_operation_xyz
'x,y,z'
loop_
_atom_site_label
_atom_site_fract_x
_atom_site_fract_y
_atom_site_fract_z
Pt1 0.3335 0.3332 0.1118
Pt2 0.0093 0.9819 0.3329
Pt3 0.9907 0.0181 0.6671
Pt4 0.6665 0.6668 0.8882
Fe1 0.6640 0.6721 0.5520
Fe2 0.3360 0.3279 0.4480
Fe3 0.0000 0.0000 0.0000
V1 0.3260 0.3477 0.7676
V2 0.6740 0.6523 0.2324

=====

# Mn2RhW GGA-PBE optimized geometry
# Total DFT energy (no corrections), eV/atom: -9.655
# Formation energy, kJ/mol of formula units: 2
# Excess energy over the best structure of this formula in the dataset, meV/atom: 20.3
# Symmetry: P4/mmm, No. 123
# DOS at the Fermi energy, states/eV/atom: 0.38
data_Mn2RhW
_chemical_formula_sum 'Mn2 Rh1 W1'
_cell_length_a 3.0838
_cell_length_b 3.0830
_cell_length_c 6.6194
_cell_angle_alpha 62.23
_cell_angle_beta 90.00
_cell_angle_gamma 90.00
_space_group_name_H-M_alt 'P 1'
_space_group_IT_number 1
loop_
_space_group_symop_operation_xyz
'x,y,z'
loop_
_atom_site_label
_atom_site_fract_x
_atom_site_fract_y
_atom_site_fract_z
Rh1 0.5000 0.2500 0.2500
Mn1 0.0000 0.4929 0.5071
Mn2 0.0000 0.0071 0.9929
W1 0.5000 0.7500 0.7500

=====

# LiPm2Sm3Se6 GGA-PBE optimized geometry
# Total DFT energy (no corrections), eV/atom: -5.665
# ΔE_f (raw), eV per atom: -1.792
# Symmetry: C2/m, No. 12
# DOS at the Fermi energy, states/eV/atom: 0.45
data_LiPm2Sm3Se6
_chemical_formula_sum 'Li1 Pm2 Sm3 Se6'
_cell_length_a 7.1976
_cell_length_b 7.1976
_cell_length_c 7.1995
_cell_angle_alpha 99.65
_cell_angle_beta 99.65
_cell_angle_gamma 120.17
_space_group_name_H-M_alt 'P 1'
_space_group_IT_number 1
loop_
_space_group_symop_operation_xyz
'x,y,z'
loop_
_atom_site_label
_atom_site_fract_x
_atom_site_fract_y
_atom_site_fract_z
Se1 0.5973 0.9190 0.7553
Se2 0.4027 0.0810 0.2447
Se3 0.0810 0.4027 0.2447
Se4 0.9190 0.5973 0.7553
Se5 0.7614 0.7614 0.2439
Se6 0.2386 0.2386 0.7561
Pm1 0.3346 0.6654 0.0000
Pm2 0.6654 0.3346 0.0000
Li1 0.0000 0.0000 0.0000
Sm1 0.1680 0.8320 0.5000
Sm2 0.8320 0.1680 0.5000
Sm3 0.5000 0.5000 0.5000

=====

# YErSc2 GGA-PBE optimized geometry
# Total DFT energy (no corrections), eV/atom: -5.871
# Formation energy, kJ/mol of formula units: 20
# Excess energy over the best structure of this formula in the dataset, meV/atom: 0.0
# Symmetry: R3m, No. 160
# DOS at the Fermi energy, states/eV/atom: 1.81
data_YErSc2
_chemical_formula_sum 'Y1 Er1 Sc2'
_cell_length_a 3.4446
_cell_length_b 3.4446
_cell_length_c 11.0464
_cell_angle_alpha 81.03
_cell_angle_beta 81.03
_cell_angle_gamma 60.00
_space_group_name_H-M_alt 'P 1'
_space_group_IT_number 1
loop_
_space_group_symop_operation_xyz
'x,y,z'
loop_
_atom_site_label
_atom_site_fract_x
_atom_site_fract_y
_atom_site_fract_z
Sc1 0.2490 0.2490 0.2530
Sc2 0.0843 0.0843 0.7470
Y1 0.6663 0.6663 0.0012
Er1 0.5004 0.5004 0.4988

=====

# Sr2TaSnPd GGA-PBE optimized geometry
# Total DFT energy (no corrections), eV/atom: -3.987
# Formation energy, kJ/mol of formula units: 432
# Symmetry: P4/mmm, No. 123
# DOS at the Fermi energy, states/eV/atom: 1.08
data_Sr2TaSnPd
_chemical_formula_sum 'Sr2 Ta1 Sn1 Pd1'
_cell_length_a 5.8264
_cell_length_b 5.3104
_cell_length_c 5.8264
_cell_angle_alpha 90.00
_cell_angle_beta 90.00
_cell_angle_gamma 90.00
_space_group_name_H-M_alt 'P 1'
_space_group_IT_number 1
loop_
_space_group_symop_operation_xyz
'x,y,z'
loop_
_atom_site_label
_atom_site_fract_x
_atom_site_fract_y
_atom_site_fract_z
Sr1 0.0000 0.0000 0.5000
Sr2 0.5000 0.0000 0.0000
Pd1 0.5000 0.5000 0.5000
Sn1 0.0000 0.5000 0.0000
Ta1 0.0000 0.0000 0.0000

=====

# HoIn2SnSe4 GGA-PBE optimized geometry
# Total DFT energy (no corrections), eV/atom: -4.328
# ΔE_f (raw), eV per atom: -0.828
# Symmetry: P2/m, No. 10
# DOS at the Fermi energy, states/eV/atom: 0.47
data_HoIn2SnSe4
_chemical_formula_sum 'Ho1 In2 Sn1 Se4'
_cell_length_a 4.1535
_cell_length_b 7.5717
_cell_length_c 7.4676
_cell_angle_alpha 71.49
_cell_angle_beta 90.00
_cell_angle_gamma 90.00
_space_group_name_H-M_alt 'P 1'
_space_group_IT_number 1
loop_
_space_group_symop_operation_xyz
'x,y,z'
loop_
_atom_site_label
_atom_site_fract_x
_atom_site_fract_y
_atom_site_fract_z
Se1 0.5000 0.7228 0.2738
Se2 0.0000 0.7370 0.7371
Se3 0.5000 0.2773 0.7262
Se4 0.0000 0.2630 0.2629
Ho1 0.0000 0.5000 0.5000
In1 0.0000 0.0000 0.0000
In2 0.5000 0.0000 0.5000
Sn1 0.5000 0.5000 0.0000

=====

# LiGe GGA-PBE optimized geometry
# Total DFT energy (no corrections), eV/atom: -3.240
# Formation energy, kJ/mol of formula units: 5
# Symmetry: P4_2/mnm, No. 136
# DOS at the Fermi energy, states/eV/atom: 0.44
data_LiGe
_chemical_formula_sum 'Li4 Ge4'
_cell_length_a 5.1568
_cell_length_b 5.1568
_cell_length_c 5.7063
_cell_angle_alpha 90.00
_cell_angle_beta 90.00
_cell_angle_gamma 90.00
_space_group_name_H-M_alt 'P 1'
_space_group_IT_number 1
loop_
_space_group_symop_operation_xyz
'x,y,z'
loop_
_atom_site_label
_atom_site_fract_x
_atom_site_fract_y
_atom_site_fract_z
Li1 0.6743 0.6743 0.5000
Li2 0.3257 0.3257 0.5000
Li3 0.1743 0.8257 0.0000
Li4 0.8257 0.1743 0.0000
Ge1 0.1644 0.8356 0.5000
Ge2 0.8356 0.1644 0.5000
Ge3 0.6644 0.6644 0.0000
Ge4 0.3356 0.3356 0.0000

=====

# CoTcP GGA-PBE optimized geometry
# Total DFT energy (no corrections), eV/atom: -7.826
# Formation energy, kJ/mol of formula units: -57
# Excess energy over the best structure of this formula in the dataset, meV/atom: 267.6
# Symmetry: P-6m2, No. 187
# DOS at the Fermi energy, states/eV/atom: 1.32
data_CoTcP
_chemical_formula_sum 'Co1 Tc1 P1'
_cell_length_a 3.8405
_cell_length_b 3.8405
_cell_length_c 2.8545
_cell_angle_alpha 90.00
_cell_angle_beta 90.00
_cell_angle_gamma 120.00
_space_group_name_H-M_alt 'P 1'
_space_group_IT_number 1
loop_
_space_group_symop_operation_xyz
'x,y,z'
loop_
_atom_site_label
_atom_site_fract_x
_atom_site_fract_y
_atom_site_fract_z
Co1 0.0000 0.0000 0.1666
P1 0.6667 0.3333 0.1669
Tc1 0.3333 0.6667 0.6665

=====

# Pm9Nd2Tm GGA-PBE optimized geometry
# Total DFT energy (no corrections), eV/atom: -4.714
# Formation energy, kJ/mol of formula units: 19
# Excess energy over the best structure of this formula in the dataset, meV/atom: 0.0
# Symmetry: P4/mmm, No. 123
# DOS at the Fermi energy, states/eV/atom: 1.64
data_Pm9Nd2Tm
_chemical_formula_sum 'Pm9 Nd2 Tm1'
_cell_length_a 5.1466
_cell_length_b 5.1466
_cell_length_c 15.4412
_cell_angle_alpha 90.00
_cell_angle_beta 90.00
_cell_angle_gamma 90.00
_space_group_name_H-M_alt 'P 1'
_space_group_IT_number 1
loop_
_space_group_symop_operation_xyz
'x,y,z'
loop_
_atom_site_label
_atom_site_fract_x
_atom_site_fract_y
_atom_site_fract_z
Tm1 0.0000 0.0000 0.0000
Pm1 0.5000 0.0000 0.5000
Pm2 0.5000 0.5000 0.3319
Pm3 0.0000 0.5000 0.8359
Pm4 0.5000 0.5000 0.0000
Pm5 0.0000 0.5000 0.1641
Pm6 0.5000 0.5000 0.6681
Pm7 0.5000 0.0000 0.8359
Pm8 0.5000 0.0000 0.1641
Pm9 0.0000 0.5000 0.5000
Nd1 0.0000 0.0000 0.3318
Nd2 0.0000 0.0000 0.6682

=====

# CeOsPt GGA-PBE optimized geometry
# Total DFT energy (no corrections), eV/atom: -7.644
# Formation energy, kJ/mol of formula units: 26
# Symmetry: Amm2, No. 38
# DOS at the Fermi energy, states/eV/atom: 1.14
data_CeOsPt
_chemical_formula_sum 'Ce2 Os2 Pt2'
_cell_length_a 2.8939
_cell_length_b 2.8916
_cell_length_c 14.7016
_cell_angle_alpha 90.00
_cell_angle_beta 90.00
_cell_angle_gamma 120.03
_space_group_name_H-M_alt 'P 1'
_space_group_IT_number 1
loop_
_space_group_symop_operation_xyz
'x,y,z'
loop_
_atom_site_label
_atom_site_fract_x
_atom_site_fract_y
_atom_site_fract_z
Ce1 0.2862 0.5724 0.6713
Ce2 0.2862 0.5724 0.3287
Os1 0.4925 0.9851 0.5000
Os2 0.3108 0.6216 0.0000
Pt1 0.6454 0.2908 0.1466
Pt2 0.6454 0.2908 0.8534